[1]
Entry from Alexandria: a relaxed structure of TmIrRh2 (GGA-PBE).

a = 5.401 Å, b = 8.431 Å, c = 7.738 Å
α = 90.00°, β = 90.00°, γ = 90.00°
Fractional positions:
Tm 0.250 0.000 0.162
Tm 0.250 0.500 0.323
Tm 0.750 0.000 0.838
Tm 0.750 0.500 0.677
Ir 0.250 0.000 0.797
Ir 0.250 0.500 0.726
Ir 0.750 0.000 0.203
Ir 0.750 0.500 0.274
Rh 0.000 0.000 0.500
Rh 0.000 0.500 0.000
Rh 0.250 0.255 0.568
Rh 0.250 0.745 0.568
Rh 0.500 0.000 0.500
Rh 0.500 0.500 0.000
Rh 0.750 0.255 0.432
Rh 0.750 0.745 0.432

Summary:
The excess energy over the best structure of this formula in the dataset comes out at 719 meV per atom. Its space group is No. 51.

=====

[2]
Entry from Alexandria: a relaxed structure of Tm3IrRh (GGA-PBE).

a = 4.004 Å, b = 6.741 Å, c = 8.625 Å
α = 90.00°, β = 90.00°, γ = 90.00°
Fractional positions:
Tm 0.250 0.014 0.171
Tm 0.250 0.250 0.552
Tm 0.250 0.486 0.171
Tm 0.750 0.514 0.829
Tm 0.750 0.750 0.448
Tm 0.750 0.986 0.829
Ir 0.250 0.750 0.666
Ir 0.750 0.250 0.334
Rh 0.250 0.250 0.890
Rh 0.750 0.750 0.110

Summary:
As for the electronic total energy: -6.66 eV/atom. Its space group is No. 59.

=====

[3]
Entry from Alexandria: a relaxed structure of Tm6IrRh2 (GGA-PBE).

a = 6.489 Å, b = 7.275 Å, c = 11.360 Å
α = 90.00°, β = 123.10°, γ = 90.00°
Fractional positions:
Tm 0.085 0.048 0.243
Tm 0.085 0.452 0.743
Tm 0.229 0.674 0.075
Tm 0.229 0.826 0.575
Tm 0.391 0.172 0.065
Tm 0.391 0.328 0.565
Tm 0.609 0.672 0.435
Tm 0.609 0.828 0.935
Tm 0.771 0.174 0.425
Tm 0.771 0.326 0.925
Tm 0.915 0.548 0.257
Tm 0.915 0.952 0.757
Ir 0.500 0.000 0.500
Ir 0.500 0.500 0.000
Rh 0.311 0.118 0.767
Rh 0.311 0.382 0.267
Rh 0.689 0.618 0.733
Rh 0.689 0.882 0.233

Summary:
The excess energy over the best structure of this formula in the dataset comes out at 26 meV per atom. Its space group is No. 14.

=====

[4]
Entry from Alexandria: a relaxed structure of Tm2Ir3Rh (GGA-PBE).

a = 5.323 Å, b = 5.323 Å, c = 5.323 Å
α = 60.01°, β = 60.01°, γ = 60.01°
Fractional positions:
Tm 0.124 0.124 0.124
Tm 0.876 0.876 0.876
Ir 0.000 0.500 0.500
Ir 0.500 0.000 0.500
Ir 0.500 0.500 0.000
Rh 0.500 0.500 0.500

Summary:
As for the electronic total energy: -7.96 eV/atom. Its space group is No. 166.

=====

[5]
Entry from Alexandria: a relaxed structure of TmIrRh2 (GGA-PBE).

a = 4.052 Å, b = 4.052 Å, c = 3.961 Å
α = 90.00°, β = 90.00°, γ = 90.00°
Fractional positions:
Tm 0.000 0.000 0.000
Ir 0.500 0.500 0.000
Rh 0.000 0.500 0.500
Rh 0.500 0.000 0.500

Summary:
The excess energy over the best structure of this formula in the dataset comes out at 0 meV per atom. Its space group is No. 123.

=====

[6]
Entry from Alexandria: a relaxed structure of TmIr2Rh3 (GGA-PBE).

a = 7.387 Å, b = 7.387 Å, c = 4.619 Å
α = 90.00°, β = 90.00°, γ = 120.00°
Fractional positions:
Tm 0.333 0.667 0.149
Tm 0.667 0.333 0.851
Ir 0.000 0.000 0.500
Ir 0.000 0.500 0.500
Ir 0.500 0.000 0.500
Ir 0.500 0.500 0.500
Rh 0.156 0.312 0.799
Rh 0.156 0.844 0.799
Rh 0.312 0.156 0.201
Rh 0.688 0.844 0.799
Rh 0.844 0.156 0.201
Rh 0.844 0.688 0.201

Summary:
As for the electronic total energy: -7.00 eV/atom. Its space group is No. 164.

=====

[7]
Entry from Alexandria: a relaxed structure of Tm3Ir2Rh2 (GGA-PBE).

a = 5.185 Å, b = 5.185 Å, c = 6.040 Å
α = 99.86°, β = 99.86°, γ = 59.64°
Fractional positions:
Tm 0.000 0.000 0.000
Tm 0.290 0.290 0.696
Tm 0.710 0.710 0.304
Ir 0.333 0.333 0.158
Ir 0.667 0.667 0.842
Rh 0.240 0.760 0.500
Rh 0.760 0.240 0.500

Summary:
As for the electronic total energy: -7.29 eV/atom. Its space group is No. 12.

=====

[8]
Entry from Alexandria: a relaxed structure of Tm3Ir8Rh (GGA-PBE).

a = 9.172 Å, b = 9.172 Å, c = 9.172 Å
α = 33.54°, β = 33.54°, γ = 33.54°
Fractional positions:
Tm 0.000 0.000 0.000
Tm 0.131 0.131 0.131
Tm 0.517 0.517 0.517
Ir 0.068 0.068 0.570
Ir 0.068 0.570 0.068
Ir 0.070 0.566 0.566
Ir 0.317 0.317 0.317
Ir 0.566 0.070 0.566
Ir 0.566 0.566 0.070
Ir 0.570 0.068 0.068
Ir 0.818 0.818 0.818
Rh 0.648 0.648 0.648

Summary:
As for the electronic total energy: -8.18 eV/atom. Its space group is No. 160.